1.
This record from Alexandria describes a geometry-optimized Sn3HgAs structure. The functional is PBE-GGA.

Properties
The density is 6.34 g/cm3.

Lattice parameters (Å, degrees): 5.490 5.490 5.490 90.00 90.00 90.00
Fractional positions:
Sn 0.500 0.000 0.000
Hg 0.000 0.000 0.000
As 0.500 0.500 0.500
Sn 0.000 0.000 0.500
Sn 0.000 0.500 0.000



2.
This record from Alexandria describes a geometry-optimized Sn3HgAs structure. The functional is PBE-GGA.

Properties
The density is 4.71 g/cm3.

Lattice parameters (Å, degrees): 5.538 6.621 12.594 105.24 90.00 90.00
Fractional positions:
Hg 0.750 0.891 0.783
Sn 0.500 0.000 0.000
Sn 0.250 0.474 0.412
Hg 0.250 0.109 0.217
As 0.750 0.706 0.413
Sn 0.000 0.000 0.000
As 0.250 0.294 0.587
Sn 0.250 0.938 0.412
Sn 0.750 0.062 0.588
Sn 0.750 0.526 0.588



3.
This record from Alexandria describes a geometry-optimized Sn3HgAs structure. The functional is PBE-GGA.

Properties
The density is 6.34 g/cm3.

Lattice parameters (Å, degrees): 5.489 5.489 5.489 90.00 90.00 90.00
Fractional positions:
As 0.000 0.000 0.000
Sn 0.000 0.000 0.500
Sn 0.500 0.000 0.000
Sn 0.000 0.500 0.000
Hg 0.500 0.500 0.500



The structure shown above that is least stable: 1.